# TlAs2Cl (PBE, relaxed)
# - E above lowest polymorph: 411 meV/atom
# - Energy relative to the elements, uncorrected: 0.05 eV per atom
data_TlAs2Cl
_chemical_formula_sum 'Tl1 As2 Cl1'
_cell_length_a 7.9295
_cell_length_b 7.9295
_cell_length_c 7.9295
_cell_angle_alpha 151.20
_cell_angle_beta 150.88
_cell_angle_gamma 41.42
_space_group_name_H-M_alt 'P 1'
_space_group_IT_number 1
_space_group_name_Hall 'P 1'
loop_
_atom_site_label
_atom_site_type_symbol
_atom_site_fract_x
_atom_site_fract_y
_atom_site_fract_z
As1 As 0.0055 0.0055 0.0000
As2 As 0.4945 0.4945 0.0000
Tl1 Tl 0.2500 0.7500 0.5000
Cl1 Cl 0.7500 0.2500 0.5000